No. 1
Zn2IrPb | GGA-PBE | optimized geometry

Cell lengths 3.3379, 3.3379, 6.7058 Å; angles 90.00, 90.00, 90.00 degrees
Closest atoms and distances in Å follow each position.
Fractional coordinates of all 4 atoms:
Ir1 0.0000 0.0000 0.4398  5 Zn 2.59-2.60
Pb1 0.5000 0.5000 0.7293  5 Zn 3.03-3.21, 4 Ir 3.06, 4 Pb 3.34
Zn1 0.0000 0.0000 0.0535  1 Ir 2.59, 4 Zn 2.80
Zn2 0.5000 0.5000 0.2774  4 Ir 2.60, 4 Zn 2.80

Computed properties:
Its space group is No. 99. The calculation puts the density of states at the Fermi level at 2.7 states/eV/cell. The formation energy comes out at 0.14 eV/atom. For the spin magnetization, the calculation gives 0.0 μB per formula unit.

No. 2
RbFe3Br12 | GGA-PBE | optimized geometry

Cell lengths 11.9115, 11.9115, 13.9197 Å; angles 64.67, 64.67, 60.00 degrees
Closest atoms and distances in Å follow each position.
Fractional coordinates of all 32 atoms:
Rb1 0.0610 0.0610 0.8171  9 Br 3.67-3.83
Rb2 0.5610 0.5610 0.3171  9 Br 3.67-3.83
Fe1 0.6774 0.3434 0.0000  4 Br 2.29-2.32
Fe2 0.1774 0.4792 0.5000  4 Br 2.29-2.32
Fe3 0.8434 0.1774 0.5000  4 Br 2.29-2.32
Fe4 0.3434 0.9792 0.0000  4 Br 2.29-2.32
Fe5 0.9792 0.6774 0.0000  4 Br 2.29-2.32
Fe6 0.4792 0.8434 0.5000  4 Br 2.29-2.32
Br1 0.1333 0.1559 0.0087  1 Fe 2.32
Br2 0.2140 0.3133 0.6624  1 Fe 2.32
Br3 0.0238 0.9762 0.4918  1 Fe 2.29
Br4 0.8274 0.4051 0.8356  1 Fe 2.31
Br5 0.3274 0.4320 0.3356  1 Fe 2.31
Br6 0.5238 0.0083 0.9918  1 Fe 2.29
Br7 0.7140 0.3103 0.1624  1 Fe 2.32
Br8 0.9762 0.5083 0.4918  1 Fe 2.29
Br9 0.6333 0.2021 0.5087  1 Fe 2.32
Br10 0.8103 0.2140 0.6624  1 Fe 2.32
Br11 0.9051 0.3274 0.3356  1 Fe 2.31
Br12 0.2021 0.6559 0.5087  1 Fe 2.32
Br13 0.0083 0.4762 0.9918  1 Fe 2.29
Br14 0.7021 0.1333 0.0087  1 Fe 2.32
Br15 0.4051 0.9320 0.8356  1 Fe 2.31
Br16 0.3103 0.8133 0.1624  1 Fe 2.32
Br17 0.8133 0.7140 0.1624  1 Fe 2.32
Br18 0.4762 0.5238 0.9918  1 Fe 2.29
Br19 0.6559 0.6333 0.5087  1 Fe 2.32
Br20 0.9320 0.8274 0.8356  1 Fe 2.31
Br21 0.4320 0.9051 0.3356  1 Fe 2.31
Br22 0.1559 0.7021 0.0087  1 Fe 2.32
Br23 0.3133 0.8103 0.6624  1 Fe 2.32
Br24 0.5083 0.0238 0.4918  1 Fe 2.29

Computed properties:
Its space group is No. 161. The calculation puts the density of states at the Fermi level at 3.3 states/eV/cell. Its total DFT energy (no corrections) is -3.46 eV/atom. For the spin magnetization, the calculation gives 13.0 μB per formula unit.

No. 3
Cu12Pt3Au | GGA-PBE | optimized geometry

Cell lengths 3.7516, 3.7516, 14.8641 Å; angles 90.00, 90.00, 90.00 degrees
Closest atoms and distances in Å follow each position.
Fractional coordinates of all 16 atoms:
Cu1 0.5000 0.5000 0.0000  4 Au 2.65, 8 Cu 2.68
Cu2 0.5000 0.5000 0.2526  8 Cu 2.63, 4 Pt 2.65
Cu3 0.5000 0.5000 0.5000  8 Cu 2.63, 4 Pt 2.65
Cu4 0.5000 0.5000 0.7474  8 Cu 2.63, 4 Pt 2.65
Cu5 0.5000 0.0000 0.1287  2 Pt 2.62, 8 Cu 2.63-2.68, 2 Au 2.68
Cu6 0.5000 0.0000 0.3762  8 Cu 2.63-2.65, 4 Pt 2.63
Cu7 0.5000 0.0000 0.6238  8 Cu 2.63-2.65, 4 Pt 2.63
Cu8 0.5000 0.0000 0.8713  2 Pt 2.62, 8 Cu 2.63-2.68, 2 Au 2.68
Cu9 0.0000 0.5000 0.1287  2 Pt 2.62, 8 Cu 2.63-2.68, 2 Au 2.68
Cu10 0.0000 0.5000 0.3762  8 Cu 2.63-2.65, 4 Pt 2.63
Cu11 0.0000 0.5000 0.6238  8 Cu 2.63-2.65, 4 Pt 2.63
Cu12 0.0000 0.5000 0.8713  2 Pt 2.62, 8 Cu 2.63-2.68, 2 Au 2.68
Pt1 0.0000 0.0000 0.2518  12 Cu 2.62-2.65
Pt2 0.0000 0.0000 0.5000  12 Cu 2.63-2.65
Pt3 0.0000 0.0000 0.7482  12 Cu 2.62-2.65
Au1 0.0000 0.0000 0.0000  12 Cu 2.65-2.68

Computed properties:
Its space group is No. 123. The calculation puts the density of states at the Fermi level at 3.6 states/eV/cell. The formation energy comes out at -0.13 eV/atom. For the spin magnetization, the calculation gives 0.0 μB per formula unit.

No. 4
La2SeClF2 | GGA-PBE | optimized geometry

Cell lengths 4.1990, 4.1990, 8.3331 Å; angles 90.00, 90.00, 120.00 degrees
Closest atoms and distances in Å follow each position.
Fractional coordinates of all 6 atoms:
La1 0.3333 0.6667 0.7323  3 F 2.45
La2 0.6667 0.3333 0.2677  3 F 2.45
Se1 0.0000 0.0000 0.5000  6 La 3.10, 6 F 3.34
Cl1 0.0000 0.0000 0.0000  6 F 3.06, 6 La 3.29
F1 0.3333 0.6667 0.2245  3 La 2.45
F2 0.6667 0.3333 0.7755  3 La 2.45

Computed properties:
Its space group is No. 164. The calculation puts the density of states at the Fermi level at 3.5 states/eV/cell. Its total DFT energy (no corrections) is -6.11 eV/atom. For the spin magnetization, the calculation gives 0.0 μB per formula unit.

No. 5
TaCrH2 | GGA-PBE | optimized geometry

Cell lengths 4.0043, 4.0043, 5.3617 Å; angles 68.07, 68.07, 90.00 degrees
Closest atoms and distances in Å follow each position.
Fractional coordinates of all 8 atoms:
Cr1 0.5000 0.5000 0.0000  4 H 1.73
Cr2 0.2500 0.7500 0.5000  4 H 1.73
H1 0.5839 0.1250 0.2500  2 Cr 1.73, 2 Ta 1.91
H2 0.1661 0.6250 0.2500  2 Cr 1.73, 2 Ta 1.91
H3 0.3750 0.4161 0.7500  2 Cr 1.73, 2 Ta 1.91
H4 0.8750 0.8339 0.7500  2 Cr 1.73, 2 Ta 1.91
Ta1 0.0000 0.0000 0.0000  4 H 1.91
Ta2 0.7500 0.2500 0.5000  4 H 1.91

Computed properties:
Its energy above the most stable polymorph in this dataset is 68 meV/atom. Its space group is No. 122. The calculation puts the density of states at the Fermi level at 1.9 states/eV/cell. For the spin magnetization, the calculation gives 1.0 μB per formula unit.

No. 6
Pm4ScSn4 | GGA-PBE | optimized geometry

Cell lengths 8.1428, 8.1428, 7.3524 Å; angles 123.62, 123.62, 90.00 degrees
Closest atoms and distances in Å follow each position.
Fractional coordinates of all 9 atoms:
Pm1 0.5000 0.0000 0.0000  4 Sn 3.15
Pm2 0.0000 0.5000 0.0000  4 Sn 3.15
Pm3 0.3258 0.3258 0.6517  1 Sc 2.98, 4 Sn 3.07-3.21, 1 Pm 3.19
Pm4 0.6742 0.6742 0.3483  1 Sc 2.98, 4 Sn 3.07-3.21, 1 Pm 3.19
Sc1 0.0000 0.0000 0.0000  2 Pm 2.98, 4 Sn 2.99
Sn1 0.6272 0.6272 0.7245  1 Sc 2.99, 4 Pm 3.07-3.21
Sn2 0.3728 0.9027 0.2755  1 Sc 2.99, 4 Pm 3.07-3.21
Sn3 0.0973 0.0973 0.7245  1 Sc 2.99, 4 Pm 3.07-3.21
Sn4 0.9027 0.3728 0.2755  1 Sc 2.99, 4 Pm 3.07-3.21

Computed properties:
Its space group is No. 121. The calculation puts the density of states at the Fermi level at 10.0 states/eV/cell. The formation energy comes out at -0.22 eV/atom. For the spin magnetization, the calculation gives 0.0 μB per formula unit.

No. 7
Li8As2S | GGA-PBE | optimized geometry

Cell lengths 4.3445, 5.8218, 7.5316 Å; angles 112.74, 106.76, 90.00 degrees
Closest atoms and distances in Å follow each position.
Fractional coordinates of all 11 atoms:
Li1 0.3555 0.5992 0.7110  1 S 2.42, 1 Li 2.52, 2 As 2.62
Li2 0.6446 0.8881 0.2892  1 S 2.42, 1 Li 2.52, 2 As 2.62
Li3 0.8022 0.8021 0.6045  6 Li 2.52-2.73, 2 As 2.75
Li4 0.9999 0.2621 0.9999  2 S 2.65, 2 As 2.69, 5 Li 2.77-2.89
Li5 0.1978 0.1979 0.3955  6 Li 2.52-2.73, 2 As 2.75
Li6 0.3554 0.1119 0.7108  1 S 2.42, 1 Li 2.52, 2 As 2.62
Li7 0.6445 0.4008 0.2890  1 S 2.42, 1 Li 2.52, 2 As 2.62
Li8 0.0001 0.7379 0.0001  2 S 2.65, 2 As 2.69, 5 Li 2.77-2.89
As1 0.8255 0.3256 0.6510  12 Li 2.62-2.93
As2 0.1745 0.6744 0.3490  12 Li 2.62-2.93
S1 0.5000 0.0000 0.0000  8 Li 2.42-2.65

Computed properties:
Its space group is No. 71. Its total DFT energy (no corrections) is -3.45 eV/atom. For the spin magnetization, the calculation gives 0.0 μB per formula unit.

No. 8
TbHoTl | GGA-PBE | optimized geometry

Cell lengths 5.1838, 5.1838, 5.1838 Å; angles 60.00, 60.00, 60.00 degrees
Closest atoms and distances in Å follow each position.
Fractional coordinates of all 3 atoms:
Tl1 0.2500 0.2500 0.2500  4 Tb 3.17, 4 Ho 3.17
Tb1 0.0000 0.0000 0.0000  4 Tl 3.17
Ho1 0.5000 0.5000 0.5000  4 Tl 3.17

Computed properties:
Its energy above the most stable polymorph in this dataset is 223 meV/atom. Its space group is No. 216. The calculation puts the density of states at the Fermi level at 4.8 states/eV/cell. The formation energy comes out at -0.03 eV/atom. For the spin magnetization, the calculation gives 0.0 μB per formula unit.